Compound: K4Tb3ZrTe8
Source: Alexandria via LeMat-Bulk
Functional: PBE
Structure: relaxed

Cell and atoms, written as POSCAR:
```
K4Tb3ZrTe8
1.0
4.4338 2.5599 8.2738
-4.4338 2.5599 8.2738
0.0000 -5.1197 8.2738
K Tb Zr Te
4 3 1 8
direct
0.0000 0.0000 0.0000
0.0000 0.5000 0.5000
0.5000 0.0000 0.5000
0.5000 0.5000 0.0000
0.0000 0.0000 0.5000
0.0000 0.5000 0.0000
0.5000 0.0000 0.0000
0.5000 0.5000 0.5000
0.2374 0.2374 0.2374
0.2469 0.7299 0.7299
0.2701 0.2701 0.7531
0.2701 0.7531 0.2701
0.7299 0.2469 0.7299
0.7299 0.7299 0.2469
0.7531 0.2701 0.2701
0.7627 0.7627 0.7627
```

Calculated values
crystal system: trigonal
symmetry: No. 166
M_tot: 0.73 μB/f.u.
calculated volume: 35.22 Å³ per atom
total energy: -4.52 eV/atom
formation energy without anion corrections: -1276 meV per atom
mass density: 5.14 g cm⁻³
N(E_F): 4.42 states/eV/cell

Compound: K3Tb2ZrTe6
Source: Alexandria via LeMat-Bulk
Functional: PBE
Structure: relaxed

Cell and atoms, written as POSCAR:
```
K3Tb2ZrTe6
1.0
3.8144 -6.6094 0.0000
3.8144 6.6094 0.0000
-2.5486 0.0000 8.2941
K Tb Zr Te
3 2 1 6
direct
0.0000 0.0000 0.0000
0.3294 0.6706 0.0000
0.6706 0.3294 0.0000
0.1661 0.8339 0.5000
0.8339 0.1661 0.5000
0.5000 0.5000 0.5000
0.1095 0.4311 0.2928
0.2487 0.2487 0.7085
0.4311 0.1095 0.2928
0.5689 0.8905 0.7072
0.7513 0.7513 0.2915
0.8905 0.5689 0.7072
```

Calculated values
crystal system: monoclinic
symmetry: No. 12
M_tot: 0.73 μB/f.u.
calculated volume: 34.85 Å³ per atom
total energy: -4.56 eV/atom
formation energy without anion corrections: -1233 meV per atom
mass density: 5.13 g cm⁻³
N(E_F): 5.28 states/eV/cell

Compound: KTb4Tl5
Source: Alexandria via LeMat-Bulk
Functional: PBE
Structure: relaxed

Cell and atoms, written as POSCAR:
```
KTb4Tl5
1.0
3.8447 0.0000 0.0000
0.0000 3.8447 0.0000
0.0000 0.0000 19.9274
K Tb Tl
1 4 5
direct
0.0000 0.0000 0.0000
0.0000 0.0000 0.2143
0.0000 0.0000 0.4047
0.0000 0.0000 0.5953
0.0000 0.0000 0.7857
0.5000 0.5000 0.1275
0.5000 0.5000 0.3109
0.5000 0.5000 0.5000
0.5000 0.5000 0.6891
0.5000 0.5000 0.8725
```

Calculated values
crystal system: tetragonal
symmetry: No. 123
M_tot: 0.00 μB/f.u.
calculated volume: 29.46 Å³ per atom
total energy: -3.44 eV/atom
mass density: 9.56 g cm⁻³
N(E_F): 6.18 states/eV/cell

Compound: KTbTl2
Source: Alexandria via LeMat-Bulk
Functional: PBE
Structure: relaxed

Cell and atoms, written as POSCAR:
```
KTbTl2
1.0
3.8809 0.0000 0.0000
0.0000 3.8809 0.0000
0.0000 0.0000 8.6294
K Tb Tl
1 1 2
direct
0.0000 0.0000 0.0000
0.0000 0.0000 0.5000
0.5000 0.5000 0.2924
0.5000 0.5000 0.7076
```

Calculated values
energy above the lowest structure with this stoichiometry: 0.000 eV/atom
crystal system: tetragonal
symmetry: No. 123
M_tot: 0.11 μB/f.u.
calculated volume: 32.49 Å³ per atom
total energy: -2.82 eV/atom
mass density: 7.75 g cm⁻³
N(E_F): 2.51 states/eV/cell

Compound: KTb2Tl9
Source: Alexandria via LeMat-Bulk
Functional: PBE
Structure: relaxed

Cell and atoms, written as POSCAR:
```
KTb2Tl9
1.0
4.8552 0.0000 0.0000
0.0000 4.8552 0.0000
0.0000 0.0000 14.6445
K Tb Tl
1 2 9
direct
0.0000 0.0000 0.0000
0.0000 0.0000 0.3453
0.0000 0.0000 0.6547
0.0000 0.5000 0.1790
0.0000 0.5000 0.5000
0.0000 0.5000 0.8210
0.5000 0.0000 0.1790
0.5000 0.0000 0.5000
0.5000 0.0000 0.8210
0.5000 0.5000 0.0000
0.5000 0.5000 0.3358
0.5000 0.5000 0.6642
```

Calculated values
crystal system: tetragonal
symmetry: No. 123
M_tot: 0.00 μB/f.u.
calculated volume: 28.77 Å³ per atom
total energy: -2.79 eV/atom
mass density: 10.57 g cm⁻³
N(E_F): 7.69 states/eV/cell

Compound: KTbTl
Source: Alexandria via LeMat-Bulk
Functional: PBE
Structure: relaxed

Cell and atoms, written as POSCAR:
```
KTbTl
1.0
-2.0134 2.0134 14.5257
2.0134 -2.0134 14.5257
2.0134 2.0134 -14.5257
K Tb Tl
2 2 2
direct
0.0760 0.0760 0.0000
0.9240 0.9240 0.0000
0.2119 0.2119 0.0000
0.7881 0.7881 0.0000
0.3400 0.3400 0.0000
0.6600 0.6600 0.0000
```

Calculated values
crystal system: tetragonal
symmetry: No. 139
M_tot: 0.41 μB/f.u.
calculated volume: 39.26 Å³ per atom
total energy: -2.81 eV/atom
mass density: 5.67 g cm⁻³
N(E_F): 4.94 states/eV/cell

Compound: KTbTl2
Source: Alexandria via LeMat-Bulk
Functional: PBE
Structure: relaxed

Cell and atoms, written as POSCAR:
```
KTbTl2
1.0
1.8799 1.0854 10.8636
-1.8799 1.0854 10.8636
0.0000 -2.1707 10.8636
K Tb Tl
1 1 2
direct
0.0000 0.0000 0.0000
0.5000 0.5000 0.5000
0.2430 0.2430 0.2430
0.7570 0.7570 0.7570
```

Calculated values
energy above the lowest structure with this stoichiometry: 0.143 eV/atom
crystal system: trigonal
symmetry: No. 166
M_tot: 0.00 μB/f.u.
calculated volume: 33.25 Å³ per atom
total energy: -2.68 eV/atom
mass density: 7.58 g cm⁻³
N(E_F): 4.03 states/eV/cell

Compound: KTbTl2
Source: Alexandria via LeMat-Bulk
Functional: PBE
Structure: relaxed

Cell and atoms, written as POSCAR:
```
KTbTl2
1.0
0.0000 3.9560 3.9560
3.9560 0.0000 3.9560
3.9560 3.9560 0.0000
K Tb Tl
1 1 2
direct
0.0000 0.0000 0.0000
0.5000 0.5000 0.5000
0.2500 0.2500 0.2500
0.7500 0.7500 0.7500
```

Calculated values
energy above the lowest structure with this stoichiometry: 0.130 eV/atom
crystal system: cubic
symmetry: No. 225
M_tot: 0.00 μB/f.u.
calculated volume: 30.96 Å³ per atom
total energy: -2.69 eV/atom
mass density: 8.14 g cm⁻³
N(E_F): 2.15 states/eV/cell

Compound: KTb2Tm
Source: Alexandria via LeMat-Bulk
Functional: PBE
Structure: relaxed

Cell and atoms, written as POSCAR:
```
KTb2Tm
1.0
1.7851 1.0306 13.1971
-1.7851 1.0306 13.1971
0.0000 -2.0612 13.1971
K Tb Tm
1 2 1
direct
0.0000 0.0000 0.0000
0.0965 0.0965 0.0965
0.9035 0.9035 0.9035
0.5000 0.5000 0.5000
```

Calculated values
crystal system: trigonal
symmetry: No. 166
M_tot: 0.00 μB/f.u.
calculated volume: 36.42 Å³ per atom
total energy: -3.48 eV/atom
mass density: 5.99 g cm⁻³
N(E_F): 3.87 states/eV/cell

Compound: K3Tc
Source: Alexandria via LeMat-Bulk
Functional: PBE
Structure: relaxed

Cell and atoms, written as POSCAR:
```
K3Tc
1.0
-2.9316 2.9316 5.1168
2.9316 -2.9316 5.1168
2.9316 2.9316 -5.1168
K Tc
3 1
direct
0.0000 0.0000 0.0000
0.2500 0.7500 0.5000
0.7500 0.2500 0.5000
0.5000 0.5000 0.0000
```

Calculated values
energy above the lowest structure with this stoichiometry: 0.053 eV/atom
crystal system: tetragonal
symmetry: No. 139
M_tot: 3.58 μB/f.u.
calculated volume: 43.98 Å³ per atom
total energy: -2.23 eV/atom
mass density: 2.03 g cm⁻³
N(E_F): 5.35 states/eV/cell

Compound: K3Tc
Source: Alexandria via LeMat-Bulk
Functional: PBE
Structure: relaxed

Cell and atoms, written as POSCAR:
```
K3Tc
1.0
5.6600 0.0000 0.0000
0.0000 5.6600 0.0000
0.0000 0.0000 5.6600
K Tc
3 1
direct
0.0000 0.0000 0.5000
0.0000 0.5000 0.0000
0.5000 0.0000 0.0000
0.5000 0.5000 0.5000
```

Calculated values
energy above the lowest structure with this stoichiometry: 0.072 eV/atom
crystal system: cubic
symmetry: No. 221
M_tot: 3.77 μB/f.u.
calculated volume: 45.33 Å³ per atom
total energy: -2.21 eV/atom
mass density: 1.97 g cm⁻³
N(E_F): 4.53 states/eV/cell

Compound: K5Tc
Source: Alexandria via LeMat-Bulk
Functional: PBE
Structure: relaxed

Cell and atoms, written as POSCAR:
```
K5Tc
1.0
4.2290 0.0000 0.0000
0.0000 4.2290 0.0000
0.0000 0.0000 18.5366
K Tc
5 1
direct
0.0000 0.0000 0.0000
0.0000 0.0000 0.3921
0.0000 0.0000 0.6079
0.5000 0.5000 0.1975
0.5000 0.5000 0.8025
0.5000 0.5000 0.5000
```

Calculated values
energy above the lowest structure with this stoichiometry: 0.000 eV/atom
crystal system: tetragonal
symmetry: No. 123
M_tot: 3.48 μB/f.u.
calculated volume: 55.25 Å³ per atom
total energy: -1.88 eV/atom
mass density: 1.47 g cm⁻³
N(E_F): 7.40 states/eV/cell